Density functional theory data (PBE-GGA) for a geometry-optimized TlAsAuO structure.

The electronic total energy comes out at -0.1415 Ha/atom. Its energy above the most stable polymorph in this dataset is 10 meV per atom.

The space group is Pmc2_1 (No. 26) and the conventional cell measures 3.594, 6.855 and 7.168 Å, with angles of 90.00, 90.00 and 90.00 degrees. The asymmetric unit holds Tl at (0.000, 0.178, 0.000), As at (0.000, 0.204, 0.390), Au at (0.500, 0.306, 0.604) and O at (0.500, 0.352, 0.901).

Density functional theory data (PBE-GGA) for a geometry-optimized UNi4Pt structure.

The electronic total energy comes out at -0.2585 Ha/atom. The calculation puts the energy relative to the elements at -0.43 eV/atom.

The space group is F-43m (No. 216) and the conventional cell measures 6.849, 6.849 and 6.849 Å, with angles of 90.00, 90.00 and 90.00 degrees. The asymmetric unit holds U at (0.000, 0.000, 0.000), Ni at (0.125, 0.125, 0.375) and Pt at (0.250, 0.250, 0.750).

Density functional theory data (PBE-GGA) for a geometry-optimized Na2PIrN4 structure.

The electronic total energy comes out at -0.2304 Ha/atom.

The space group is I-4 (No. 82) and the conventional cell measures 5.432, 5.432 and 6.714 Å, with angles of 90.00, 90.00 and 90.00 degrees. The asymmetric unit holds Na at (0.000, 0.000, 0.000), Na at (0.000, 0.500, 0.250), P at (0.000, 0.000, 0.500), Ir at (0.000, 0.500, 0.750) and N at (0.148, 0.210, 0.635).